DFT (PBE) results for a relaxed VCrSe2 crystal.

Summary:
E_form (uncorrected) = -3.8 kJ/mol of atoms
density of states at the Fermi level = 2.2 states/eV/cell
calculated density = 4.9 g/cm3
crystal system = trigonal
distance to the lowest polymorph of the same formula = 0.214 eV per atom
SG = R-3m, No. 166
calculated total energy = -6.467 eV per atom

Cell lengths 8.0810, 8.0810, 8.0810 Å; angles 25.81, 25.81, 25.81 degrees
Last column: nearest neighbours and their distance in Å.
Fractional coordinates of all 4 atoms:
V1 0.0000 0.0000 0.0000  2 Se 2.47
Cr1 0.5000 0.5000 0.5000  6 Se 2.53
Se1 0.1056 0.1056 0.1056  1 V 2.47, 3 Cr 2.53
Se2 0.8944 0.8944 0.8944  1 V 2.47, 3 Cr 2.53

DFT (PBE) results for a relaxed TbBiAs2Rh5 crystal.

Summary:
density of states at the Fermi level = 4.3 states/eV/cell
calculated density = 9.4 g/cm3
crystal system = tetragonal
SG = P4/mmm, No. 123
calculated total energy = -6.469 eV per atom

Cell lengths 4.0622, 4.0622, 11.0210 Å; angles 90.00, 90.00, 90.00 degrees
Last column: nearest neighbours and their distance in Å.
Fractional coordinates of all 9 atoms:
Tb1 0.0000 0.0000 0.0000  4 Rh 2.87
Bi1 0.0000 0.0000 0.5000  8 Rh 2.75
As1 0.5000 0.5000 0.2152  5 Rh 2.37-2.40
As2 0.5000 0.5000 0.7848  5 Rh 2.37-2.40
Rh1 0.0000 0.5000 0.3312  2 As 2.40
Rh2 0.0000 0.5000 0.6688  2 As 2.40
Rh3 0.5000 0.0000 0.3312  2 As 2.40
Rh4 0.5000 0.0000 0.6688  2 As 2.40
Rh5 0.5000 0.5000 0.0000  2 As 2.37